Record 1
The following is a DFT calculation (PBE) of an optimized crystal structure of Ac3CeHo3Se8.

Geometry as POSCAR:
```
Ac3CeHo3Se8
1.0
-7.228 2.986 3.041
1.101 -8.276 -0.834
4.319 4.209 6.132
Ac Ce Ho Se
3 1 3 8
direct
0.000 0.000 0.000
0.000 0.500 0.000
0.500 0.500 0.000
0.000 0.000 0.500
0.500 0.000 0.500
0.500 0.500 0.500
0.000 0.500 0.500
0.260 0.520 0.279
0.740 0.480 0.721
0.748 0.497 0.269
0.252 0.503 0.731
0.748 0.020 0.269
0.252 0.980 0.731
0.272 0.020 0.269
0.728 0.980 0.731
```

Computed properties:
* ΔE_f (raw): -1830 meV per atom
* total magnetic moment: 1.67 Bohr magnetons per cell

---

Record 2
The following is a DFT calculation (PBE) of an optimized crystal structure of AcSm4Dy2Tm.

Geometry as POSCAR:
```
AcSm4Dy2Tm
1.0
5.896 0.000 0.000
0.000 5.665 1.631
0.000 3.485 9.203
Ac Sm Dy Tm
1 4 2 1
direct
0.500 0.500 0.000
0.000 0.773 0.727
0.000 0.227 0.273
0.500 0.726 0.274
0.500 0.274 0.726
0.000 0.000 0.000
0.500 0.000 0.500
0.000 0.500 0.500
```

Computed properties:
* DFT formation energy: 131 meV/atom
* total magnetic moment: 0.00 Bohr magnetons per cell

---

Record 3
The following is a DFT calculation (PBE) of an optimized crystal structure of Pu2Si6NiRu.

Geometry as POSCAR:
```
Pu2Si6NiRu
1.0
-0.813 -3.059 4.857
-1.709 -5.531 -0.310
10.349 -6.305 1.220
Pu Si Ni Ru
4 12 2 2
direct
0.889 0.889 0.333
0.111 0.111 0.667
0.708 0.708 0.877
0.292 0.292 0.123
0.931 0.338 0.394
0.338 0.931 0.394
0.338 0.338 0.394
0.069 0.662 0.606
0.662 0.069 0.606
0.662 0.662 0.606
0.651 0.229 0.890
0.229 0.651 0.890
0.229 0.229 0.890
0.349 0.771 0.110
0.771 0.349 0.110
0.771 0.771 0.110
0.000 0.000 0.000
0.500 0.500 0.500
0.573 0.573 0.280
0.427 0.427 0.720
```

Computed properties:
* ΔE_f (raw): -383 meV per atom
* total magnetic moment: 21.32 Bohr magnetons per cell

---

Record 4
The following is a DFT calculation (PBE) of an optimized crystal structure of SrLa3Bi.

Geometry as POSCAR:
```
SrLa3Bi
1.0
5.815 0.000 0.000
0.000 5.815 0.000
0.000 0.000 5.815
Sr Bi La
1 1 3
direct
0.000 0.000 0.000
0.500 0.500 0.500
0.000 0.500 0.000
0.000 0.000 0.500
0.500 0.000 0.000
```

Computed properties:
* energy above the most stable polymorph in this dataset: 685.0 meV/atom
* DFT formation energy: 670 meV/atom
* total magnetic moment: 0.00 Bohr magnetons per cell

---

Record 5
The following is a DFT calculation (PBE) of an optimized crystal structure of TmMgSc2Pt4.

Geometry as POSCAR:
```
TmMgSc2Pt4
1.0
-2.012 -3.909 1.602
2.561 -3.185 2.278
-1.354 1.149 7.935
Tm Mg Sc Pt
1 1 2 4
direct
0.000 0.000 0.000
0.500 0.500 0.500
0.755 0.755 0.736
0.245 0.245 0.264
0.377 0.377 0.870
0.875 0.875 0.374
0.125 0.125 0.626
0.623 0.623 0.130
```

Computed properties:
* DFT formation energy: -1158 meV/atom
* total magnetic moment: 0.00 Bohr magnetons per cell

---

Record 6
The following is a DFT calculation (PBE) of an optimized crystal structure of NaMg4Tl15.

Geometry as POSCAR:
```
NaMg4Tl15
1.0
-1.012 -3.381 -3.300
-1.204 -3.079 3.523
-22.824 7.793 -0.987
Na Mg Tl
1 4 15
direct
0.000 0.000 0.000
0.000 0.000 0.199
0.000 0.000 0.399
0.000 0.000 0.601
0.000 0.000 0.801
0.500 0.500 0.000
0.500 0.500 0.201
0.500 0.500 0.400
0.500 0.500 0.600
0.500 0.500 0.799
0.500 0.000 0.103
0.500 0.000 0.300
0.500 0.000 0.500
0.500 0.000 0.700
0.500 0.000 0.897
0.000 0.500 0.103
0.000 0.500 0.300
0.000 0.500 0.500
0.000 0.500 0.700
0.000 0.500 0.897
```

Computed properties:
* DFT formation energy: 5 meV/atom
* total magnetic moment: 0.00 Bohr magnetons per cell